# 1
A relaxed Tl5Hg12H2 crystal. Source: Alexandria, functional GGA-PBE.

D(E_F) = 5.2 states/eV/f.u.
Electronic total energy = -1.05 eV per atom
Total magnetic moment = 0.0 μB per cell

abc: 10.8372 10.8372 8.6779
angles: 73.84 73.84 33.20
Last column: nearest neighbours and their distance in Å.
Atoms (fractional coordinates):
Hg 0.0938 0.0938 0.7343  2 H 3.12, 1 Tl 3.20, 4 Hg 3.23-3.46
Hg 0.5591 0.5591 0.5991  2 Tl 3.10-3.33, 5 Hg 3.21-3.46
Hg 0.0472 0.5600 0.1067  6 Hg 3.02-3.30, 2 Tl 3.25-3.34
Hg 0.0928 0.6086 0.7094  5 Hg 3.00-3.30, 1 Tl 3.30
Hg 0.9072 0.3914 0.2906  5 Hg 3.00-3.30, 1 Tl 3.30
Hg 0.9062 0.9062 0.2657  2 H 3.12, 1 Tl 3.20, 4 Hg 3.23-3.46
Hg 0.6086 0.0928 0.7094  5 Hg 3.00-3.30, 1 Tl 3.30
Hg 0.5600 0.0472 0.1067  6 Hg 3.02-3.30, 2 Tl 3.25-3.34
Hg 0.4409 0.4409 0.4009  2 Tl 3.10-3.33, 5 Hg 3.21-3.46
Hg 0.9528 0.4400 0.8933  6 Hg 3.02-3.30, 2 Tl 3.25-3.34
Hg 0.4400 0.9528 0.8933  6 Hg 3.02-3.30, 2 Tl 3.25-3.34
Hg 0.3914 0.9072 0.2906  5 Hg 3.00-3.30, 1 Tl 3.30
H 0.2911 0.7089 0.0000  2 Tl 2.10
H 0.7089 0.2911 0.0000  2 Tl 2.10
Tl 0.5606 0.5606 0.0887  2 H 2.10
Tl 0.7248 0.7248 0.5407  2 Tl 3.28, 7 Hg 3.33-3.67
Tl 0.4394 0.4394 0.9113  2 H 2.10
Tl 0.2752 0.2752 0.4593  2 Tl 3.28, 7 Hg 3.33-3.67
Tl 0.0000 0.0000 0.5000  10 Hg 3.20-3.53

# 2
A relaxed Mg3NbRh crystal. Source: Alexandria, functional GGA-PBE.

D(E_F) = 5.7 states/eV/f.u.
Energy relative to the elements = 1616.3 meV/atom
Electronic total energy = -2.82 eV per atom
Energy above the lowest structure with this stoichiometry = 1.047 eV per atom
Total magnetic moment = 4.0 μB per cell

abc: 5.1677 5.1677 5.1677
angles: 90.00 90.00 90.00
Last column: nearest neighbours and their distance in Å.
Atoms (fractional coordinates):
Mg 0.0000 0.5000 0.0000  2 Nb 2.58
Mg 0.5000 0.0000 0.0000  2 Nb 2.58
Mg 0.0000 0.0000 0.5000  2 Nb 2.58
Rh 0.5000 0.5000 0.5000  12 Mg 3.65
Nb 0.0000 0.0000 0.0000  6 Mg 2.58

# 3
A relaxed Sr8Zn6N crystal. Source: Alexandria, functional GGA-PBE.

D(E_F) = 10.0 states/eV/f.u.
Electronic total energy = -2.14 eV per atom
Total magnetic moment = 0.0 μB per cell

abc: 8.1259 8.1259 8.1259
angles: 74.92 74.92 74.92
Last column: nearest neighbours and their distance in Å.
Atoms (fractional coordinates):
Sr 0.3703 0.3703 0.3703  6 Zn 3.21-3.22
Sr 0.6963 0.9060 0.1344  1 N 2.65
Sr 0.3037 0.0940 0.8656  1 N 2.65
Sr 0.8656 0.3037 0.0940  1 N 2.65
Sr 0.0940 0.8656 0.3037  1 N 2.65
Sr 0.1344 0.6963 0.9060  1 N 2.65
Sr 0.9060 0.1344 0.6963  1 N 2.65
Sr 0.6297 0.6297 0.6297  6 Zn 3.21-3.22
N 0.0000 0.0000 0.0000  6 Sr 2.65
Zn 0.6517 0.0343 0.5004  1 Zn 2.67
Zn 0.0343 0.5004 0.6517  1 Zn 2.67
Zn 0.9657 0.4996 0.3483  1 Zn 2.67
Zn 0.5004 0.6517 0.0343  1 Zn 2.67
Zn 0.4996 0.3483 0.9657  1 Zn 2.67
Zn 0.3483 0.9657 0.4996  1 Zn 2.67

# 4
A relaxed GePPd crystal. Source: Alexandria, functional GGA-PBE.

D(E_F) = 0.7 states/eV/f.u.
Energy relative to the elements = -192.0 meV/atom
Electronic total energy = -5.27 eV per atom
Energy above the lowest structure with this stoichiometry = 0.024 eV per atom
Total magnetic moment = 0.0 μB per cell

abc: 5.7313 3.5095 10.7657
angles: 90.00 105.76 90.00
Last column: nearest neighbours and their distance in Å.
Atoms (fractional coordinates):
P 0.1638 0.0000 0.9435  1 P 2.18, 2 Pd 2.33, 1 Ge 2.41
P 0.1228 0.0000 0.7366  1 P 2.18
P 0.1638 0.5000 0.4435  1 P 2.18, 2 Pd 2.33, 1 Ge 2.41
P 0.1228 0.5000 0.2366  1 P 2.18
Ge 0.8051 0.5000 0.6795  1 Pd 2.48, 2 P 2.48, 1 Ge 2.49
Ge 0.7421 0.5000 0.4409  1 P 2.41, 2 Pd 2.48, 1 Ge 2.49
Ge 0.8051 0.0000 0.1795  1 Pd 2.48, 2 P 2.48, 1 Ge 2.49
Ge 0.7421 0.0000 0.9409  1 P 2.41, 2 Pd 2.48, 1 Ge 2.49
Pd 0.3596 0.0000 0.5738  3 P 2.33-2.49
Pd 0.3596 0.5000 0.0738  3 P 2.33-2.49
Pd 0.4962 0.5000 0.8016  3 Ge 2.48, 2 P 2.71
Pd 0.4962 0.0000 0.3016  3 Ge 2.48, 2 P 2.71

# 5
A relaxed Rb2MgHgPt crystal. Source: Alexandria, functional GGA-PBE.

D(E_F) = 2.3 states/eV/f.u.
Energy relative to the elements = 472.9 meV/atom
Electronic total energy = -1.50 eV per atom
Total magnetic moment = 0.0 μB per cell

abc: 6.3522 5.3271 6.3522
angles: 90.00 90.00 90.00
Last column: nearest neighbours and their distance in Å.
Atoms (fractional coordinates):
Pt 0.5000 0.5000 0.5000  8 Rb 4.15, 4 Mg 4.49
Rb 0.5000 0.0000 0.0000  2 Hg 3.18
Rb 0.0000 0.0000 0.5000  2 Hg 3.18
Hg 0.0000 0.0000 0.0000  2 Mg 2.66
Mg 0.0000 0.5000 0.0000  2 Hg 2.66

# 6
A relaxed Pu3MnC3 crystal. Source: Alexandria, functional GGA-PBE.

D(E_F) = 20.6 states/eV/f.u.
Energy relative to the elements = -24.6 meV/atom
Electronic total energy = -11.43 eV per atom
Total magnetic moment = 9.6 μB per cell

abc: 5.1599 6.4812 6.2747
angles: 98.76 90.00 90.00
Last column: nearest neighbours and their distance in Å.
Atoms (fractional coordinates):
Pu 0.2500 0.8743 0.1292  5 C 2.35-2.58
Pu 0.2500 0.8287 0.5666  5 C 2.49-2.58
Pu 0.2500 0.4223 0.1835  5 C 2.38-2.58
Pu 0.7500 0.5777 0.8165  5 C 2.38-2.58
Pu 0.7500 0.1713 0.4334  5 C 2.49-2.58
Pu 0.7500 0.1257 0.8708  5 C 2.35-2.58
C 0.2500 0.5768 0.8288  1 Mn 1.84
C 0.2500 0.1632 0.4157  1 Mn 1.84
C 0.7500 0.8836 0.1136  1 Mn 1.83
C 0.2500 0.1164 0.8864  1 Mn 1.83
C 0.7500 0.8368 0.5843  1 Mn 1.84
C 0.7500 0.4232 0.1712  1 Mn 1.84
Mn 0.7500 0.6971 0.3052  3 C 1.83-1.84
Mn 0.2500 0.3029 0.6948  3 C 1.83-1.84

# 7
A relaxed Rb4TlCd12Pt3 crystal. Source: Alexandria, functional GGA-PBE.

D(E_F) = 4.3 states/eV/f.u.
Energy relative to the elements = -147.5 meV/atom
Electronic total energy = -1.91 eV per atom
Total magnetic moment = 0.0 μB per cell

abc: 9.4075 9.4075 9.4075
angles: 109.47 109.47 109.47
Last column: nearest neighbours and their distance in Å.
Atoms (fractional coordinates):
Rb 0.0000 0.5000 0.0000  12 Cd 3.84
Rb 0.0000 0.0000 0.5000  12 Cd 3.84
Rb 0.5000 0.5000 0.5000  12 Cd 3.84
Rb 0.5000 0.0000 0.0000  12 Cd 3.84
Cd 0.7500 0.5000 0.2500  2 Pt 2.72
Cd 0.2615 0.2615 0.0000  1 Pt 2.59, 1 Tl 2.84
Cd 0.5000 0.2500 0.7500  2 Pt 2.72
Cd 0.7385 0.7385 0.0000  1 Pt 2.59, 1 Tl 2.84
Cd 0.7500 0.2500 0.5000  2 Pt 2.72
Cd 0.2615 0.0000 0.2615  1 Pt 2.59, 1 Tl 2.84
Cd 0.0000 0.2615 0.2615  1 Pt 2.59, 1 Tl 2.84
Cd 0.2500 0.7500 0.5000  2 Pt 2.72
Cd 0.0000 0.7385 0.7385  1 Pt 2.59, 1 Tl 2.84
Cd 0.2500 0.5000 0.7500  2 Pt 2.72
Cd 0.7385 0.0000 0.7385  1 Pt 2.59, 1 Tl 2.84
Cd 0.5000 0.7500 0.2500  2 Pt 2.72
Tl 0.0000 0.0000 0.0000  6 Cd 2.84
Pt 0.5000 0.5000 0.0000  6 Cd 2.59-2.72
Pt 0.5000 0.0000 0.5000  6 Cd 2.59-2.72
Pt 0.0000 0.5000 0.5000  6 Cd 2.59-2.72

# 8
A relaxed La2AgBiF crystal. Source: Alexandria, functional GGA-PBE.

D(E_F) = 3.6 states/eV/f.u.
Electronic total energy = -4.70 eV per atom
Energy above the lowest structure with this stoichiometry = 0.000 eV per atom
Total magnetic moment = 0.0 μB per cell

abc: 4.8669 5.7275 4.8669
angles: 90.00 90.00 90.00
Last column: nearest neighbours and their distance in Å.
Atoms (fractional coordinates):
F 0.0000 0.0000 0.0000  4 La 2.43
La 0.5000 0.0000 0.0000  2 F 2.43
La 0.0000 0.0000 0.5000  2 F 2.43
Ag 0.5000 0.5000 0.5000  4 Bi 3.44, 8 La 3.76
Bi 0.0000 0.5000 0.0000  2 F 2.86

# 9
A relaxed LiTaTc2H crystal. Source: Alexandria, functional GGA-PBE.

D(E_F) = 4.8 states/eV/f.u.
Electronic total energy = -5.71 eV per atom
Total magnetic moment = 0.0 μB per cell

abc: 4.0464 4.3807 4.0464
angles: 90.00 90.00 90.00
Last column: nearest neighbours and their distance in Å.
Atoms (fractional coordinates):
H 0.5000 0.5000 0.5000  4 Ta 2.86, 8 Tc 2.98
Ta 0.0000 0.5000 0.0000  2 Li 2.19
Tc 0.5000 0.0000 0.0000  2 Li 2.02
Tc 0.0000 0.0000 0.5000  2 Li 2.02
Li 0.0000 0.0000 0.0000  4 Tc 2.02, 2 Ta 2.19

# 10
A relaxed TcRhNF2 crystal. Source: Alexandria, functional GGA-PBE.

D(E_F) = 7.6 states/eV/f.u.
Electronic total energy = -5.97 eV per atom
Energy above the lowest structure with this stoichiometry = 0.000 eV per atom
Total magnetic moment = 1.9 μB per cell

abc: 4.1547 4.1547 3.8188
angles: 90.00 90.00 90.00
Last column: nearest neighbours and their distance in Å.
Atoms (fractional coordinates):
N 0.0000 0.0000 0.5000  2 Tc 1.91
Tc 0.0000 0.0000 0.0000  2 N 1.91, 4 F 2.08
F 0.0000 0.5000 0.0000  2 Tc 2.08
F 0.5000 0.0000 0.0000  2 Tc 2.08
Rh 0.5000 0.5000 0.5000  8 F 2.82, 4 N 2.94

# 11
A relaxed SmBe17Nb crystal. Source: Alexandria, functional GGA-PBE.

D(E_F) = 4.7 states/eV/f.u.
Energy relative to the elements = -138.7 meV/atom
Electronic total energy = -4.25 eV per atom
Total magnetic moment = 0.0 μB per cell

abc: 5.7200 5.7200 5.7200
angles: 82.85 82.85 82.85
Last column: nearest neighbours and their distance in Å.
Atoms (fractional coordinates):
Be 0.2821 0.7133 0.0035  6 Be 2.11-2.27
Be 0.0991 0.0991 0.0991  7 Be 2.11-2.31
Be 0.2821 0.0035 0.7133  6 Be 2.11-2.27
Be 0.3379 0.3379 0.8445  9 Be 2.15-2.40
Be 0.6544 0.1617 0.6544  9 Be 2.19-2.41
Be 0.0035 0.7133 0.2821  6 Be 2.11-2.27
Be 0.7133 0.0035 0.2821  6 Be 2.11-2.27
Be 0.0035 0.2821 0.7133  6 Be 2.11-2.27
Be 0.0051 0.0051 0.4972  10 Be 2.13-2.36
Be 0.4972 0.0051 0.0051  10 Be 2.13-2.36
Be 0.0051 0.4972 0.0051  10 Be 2.13-2.36
Be 0.1617 0.6544 0.6544  9 Be 2.19-2.41
Be 0.3379 0.8445 0.3379  9 Be 2.15-2.40
Be 0.6544 0.6544 0.1617  9 Be 2.19-2.41
Be 0.9089 0.9089 0.9089  1 Be 2.11
Be 0.8445 0.3379 0.3379  9 Be 2.15-2.40
Be 0.7133 0.2821 0.0035  6 Be 2.11-2.27
Sm 0.6617 0.6617 0.6617  19 Be 2.74-2.94
Nb 0.3342 0.3342 0.3342  16 Be 2.60-2.82

# 12
A relaxed Ta2AlPt crystal. Source: Alexandria, functional GGA-PBE.

D(E_F) = 2.2 states/eV/f.u.
Energy relative to the elements = 84.1 meV/atom
Electronic total energy = -8.29 eV per atom
Total magnetic moment = 0.0 μB per cell

abc: 3.8262 3.8262 10.2260
angles: 79.22 79.22 90.00
Last column: nearest neighbours and their distance in Å.
Atoms (fractional coordinates):
Ta 0.8750 0.8686 0.7500  4 Ta 2.67-2.74, 2 Al 2.80, 2 Pt 2.82
Ta 0.3750 0.3814 0.7500  4 Ta 2.67-2.74, 2 Al 2.80, 2 Pt 2.82
Ta 0.6186 0.1250 0.2500  4 Ta 2.67-2.74, 2 Al 2.80, 2 Pt 2.82
Ta 0.1314 0.6250 0.2500  4 Ta 2.67-2.74, 2 Al 2.80, 2 Pt 2.82
Pt 0.7500 0.2500 0.5000  4 Al 2.71, 4 Ta 2.82
Pt 0.0000 0.0000 0.0000  4 Al 2.71, 4 Ta 2.82
Al 0.5000 0.5000 0.0000  4 Pt 2.71, 4 Ta 2.80
Al 0.2500 0.7500 0.5000  4 Pt 2.71, 4 Ta 2.80

Repeat the ninth record exactly.
A relaxed LiTaTc2H crystal. Source: Alexandria, functional GGA-PBE.

D(E_F) = 4.8 states/eV/f.u.
Electronic total energy = -5.71 eV per atom
Total magnetic moment = 0.0 μB per cell

abc: 4.0464 4.3807 4.0464
angles: 90.00 90.00 90.00
Last column: nearest neighbours and their distance in Å.
Atoms (fractional coordinates):
H 0.5000 0.5000 0.5000  4 Ta 2.86, 8 Tc 2.98
Ta 0.0000 0.5000 0.0000  2 Li 2.19
Tc 0.5000 0.0000 0.0000  2 Li 2.02
Tc 0.0000 0.0000 0.5000  2 Li 2.02
Li 0.0000 0.0000 0.0000  4 Tc 2.02, 2 Ta 2.19

Copy entry 7 word for word.
A relaxed Rb4TlCd12Pt3 crystal. Source: Alexandria, functional GGA-PBE.

D(E_F) = 4.3 states/eV/f.u.
Energy relative to the elements = -147.5 meV/atom
Electronic total energy = -1.91 eV per atom
Total magnetic moment = 0.0 μB per cell

abc: 9.4075 9.4075 9.4075
angles: 109.47 109.47 109.47
Last column: nearest neighbours and their distance in Å.
Atoms (fractional coordinates):
Rb 0.0000 0.5000 0.0000  12 Cd 3.84
Rb 0.0000 0.0000 0.5000  12 Cd 3.84
Rb 0.5000 0.5000 0.5000  12 Cd 3.84
Rb 0.5000 0.0000 0.0000  12 Cd 3.84
Cd 0.7500 0.5000 0.2500  2 Pt 2.72
Cd 0.2615 0.2615 0.0000  1 Pt 2.59, 1 Tl 2.84
Cd 0.5000 0.2500 0.7500  2 Pt 2.72
Cd 0.7385 0.7385 0.0000  1 Pt 2.59, 1 Tl 2.84
Cd 0.7500 0.2500 0.5000  2 Pt 2.72
Cd 0.2615 0.0000 0.2615  1 Pt 2.59, 1 Tl 2.84
Cd 0.0000 0.2615 0.2615  1 Pt 2.59, 1 Tl 2.84
Cd 0.2500 0.7500 0.5000  2 Pt 2.72
Cd 0.0000 0.7385 0.7385  1 Pt 2.59, 1 Tl 2.84
Cd 0.2500 0.5000 0.7500  2 Pt 2.72
Cd 0.7385 0.0000 0.7385  1 Pt 2.59, 1 Tl 2.84
Cd 0.5000 0.7500 0.2500  2 Pt 2.72
Tl 0.0000 0.0000 0.0000  6 Cd 2.84
Pt 0.5000 0.5000 0.0000  6 Cd 2.59-2.72
Pt 0.5000 0.0000 0.5000  6 Cd 2.59-2.72
Pt 0.0000 0.5000 0.5000  6 Cd 2.59-2.72